Entry 1:
The following is a PBE calculation of K3CdSi2O6 after structural relaxation, from Alexandria.

Lattice parameters (Å, degrees): 5.9264 5.9264 7.2920 90.00 90.00 120.00
Sites, in units of the cell vectors:
Si 0.6667 0.3333 0.7318
Cd 0.0000 0.0000 0.5000
Si 0.3333 0.6667 0.2682
O 0.3557 0.1779 0.7120
O 0.1779 0.8221 0.2880
O 0.8221 0.1779 0.7120
K 0.3333 0.6667 0.7260
K 0.6667 0.3333 0.2740
O 0.1779 0.3557 0.2880
O 0.8221 0.6443 0.7120
K 0.0000 0.0000 0.0000
O 0.6443 0.8221 0.2880

Output
Its density of states at the Fermi level is 1.27 states/eV/f.u. Its space group is P-3m1, No. 164. The crystal system is trigonal. For the spin magnetization, the calculation gives 0.0 μB/cell. The total DFT energy (no corrections) comes out at -67.3 eV/cell. The calculation puts the uncorrected formation energy at -1.8724 eV per atom.



Entry 2:
The following is a PBE calculation of K2SmCd2O4 after structural relaxation, from Alexandria.

Lattice parameters (Å, degrees): 3.5401 8.0963 11.0383 143.06 90.00 102.63
Sites, in units of the cell vectors:
O 0.2498 0.4996 0.2211
Sm 0.0000 0.0000 0.0000
O 0.5422 0.0844 0.1886
O 0.7502 0.5004 0.7789
Cd 0.7044 0.4089 0.0480
K 0.1304 0.2607 0.4771
O 0.4578 0.9156 0.8114
Cd 0.2956 0.5911 0.9520
K 0.8696 0.7393 0.5229

Output
Its density of states at the Fermi level is 2.35 states/eV/f.u. Its space group is C2/m, No. 12. The crystal system is monoclinic. For the spin magnetization, the calculation gives 0.0 μB/cell. The total DFT energy (no corrections) comes out at -43.5 eV/cell. The calculation puts the uncorrected formation energy at -1.6620 eV per atom.



Entry 3:
The following is a PBE calculation of K2CdSnO4 after structural relaxation, from Alexandria.

Lattice parameters (Å, degrees): 6.0874 6.0879 5.9692 120.71 120.71 89.91
Sites, in units of the cell vectors:
Sn 0.7358 0.7358 0.4717
O 0.6923 0.6339 0.7189
O 0.0267 0.0851 0.7192
K 0.4863 0.9863 0.9726
K 0.2364 0.2364 0.4728
O 0.8373 0.4445 0.2235
Cd 0.9860 0.4860 0.9720
O 0.3861 0.7790 0.2235

Output
Its density of states at the Fermi level is 0.00 states/eV/f.u. Its space group is I-4, No. 82. The crystal system is tetragonal. For the spin magnetization, the calculation gives 0.0 μB/cell. The total DFT energy (no corrections) comes out at -38.6 eV/cell. The calculation puts the uncorrected formation energy at -1.4530 eV per atom.



Entry 4:
The following is a PBE calculation of KTa2Cd2O7 after structural relaxation, from Alexandria.

Lattice parameters (Å, degrees): 3.8641 5.3076 9.8635 105.61 101.30 90.00
Sites, in units of the cell vectors:
Ta 0.6021 0.6691 0.2042
O 0.8979 0.3879 0.7958
O 0.2932 0.2610 0.5864
Cd 0.2727 0.8135 0.5453
O 0.6039 0.0154 0.2078
O 0.7068 0.6745 0.4136
O 0.5000 0.4645 0.0000
K 0.0000 0.0812 0.0000
Ta 0.3979 0.4648 0.7958
O 0.1021 0.5921 0.2042
O 0.3961 0.8075 0.7922
Cd 0.7273 0.2682 0.4547

Output
Its density of states at the Fermi level is 1.71 states/eV/f.u. Its space group is Imm2, No. 44. The crystal system is orthorhombic. For the spin magnetization, the calculation gives 0.0 μB/cell. The total DFT energy (no corrections) comes out at -86.8 eV/cell. The calculation puts the uncorrected formation energy at -2.1187 eV per atom.



Entry 5:
The following is a PBE calculation of K2TaCdO after structural relaxation, from Alexandria.

Lattice parameters (Å, degrees): 6.7070 5.5160 6.7070 90.00 90.00 90.00
Last column: magnetic moment on the atom in μB.
Sites, in units of the cell vectors:
K 0.5000 0.0000 0.0000  0.04
Cd 0.0000 0.5000 0.0000  0.10
K 0.0000 0.0000 0.5000  0.05
O 0.5000 0.5000 0.5000  0.91
Ta 0.0000 0.0000 0.0000  2.42

Output
Its density of states at the Fermi level is 12.30 states/eV/f.u. Its space group is P4/mmm, No. 123. The crystal system is tetragonal. For the spin magnetization, the calculation gives 5.8 μB/cell. The total DFT energy (no corrections) comes out at -12.9 eV/cell. The calculation puts the uncorrected formation energy at 1.3960 eV per atom.



Entry 6:
The following is a PBE calculation of K2TaCdO4 after structural relaxation, from Alexandria.

Lattice parameters (Å, degrees): 6.5480 6.5480 6.5480 76.57 128.03 128.03
Sites, in units of the cell vectors:
O 0.0397 0.2259 0.6035
Ta 0.0000 0.5000 0.5000
O 0.6225 0.3965 0.4362
K 0.5000 0.7500 0.2500
O 0.3775 0.8138 0.7741
K 0.0000 0.0000 0.0000
O 0.9603 0.5638 0.1862
Cd 0.5000 0.2500 0.7500

Output
Its density of states at the Fermi level is 2.32 states/eV/f.u. Its space group is I-4, No. 82. The crystal system is tetragonal. For the spin magnetization, the calculation gives 0.0 μB/cell. The total DFT energy (no corrections) comes out at -50.2 eV/cell. The calculation puts the uncorrected formation energy at -1.9216 eV per atom.



Entry 7:
The following is a PBE calculation of K2TaCd2O6 after structural relaxation, from Alexandria.

Lattice parameters (Å, degrees): 5.7047 5.7047 6.7043 100.45 100.45 117.13
Last column: magnetic moment on the atom in μB.
Sites, in units of the cell vectors:
O 0.0514 0.3496 0.6869  0.17
O 0.9486 0.6504 0.3131  0.17
O 0.7729 0.7729 0.6699  0.10
K 0.1758 0.8242 0.0000  0.00
K 0.8242 0.1758 0.0000  0.00
O 0.3496 0.0514 0.6869  0.17
O 0.6504 0.9486 0.3131  0.17
O 0.2271 0.2271 0.3301  0.10
Cd 0.6640 0.3360 0.5000  0.03
Ta 0.0000 0.0000 0.5000  -0.04
Cd 0.3360 0.6640 0.5000  0.03

Output
Its density of states at the Fermi level is 3.22 states/eV/f.u. Its space group is C2/m, No. 12. The crystal system is monoclinic. For the spin magnetization, the calculation gives 1.1 μB/cell. The total DFT energy (no corrections) comes out at -64.2 eV/cell. The calculation puts the uncorrected formation energy at -1.6852 eV per atom.



Entry 8:
The following is a PBE calculation of K3Ta2CdO8 after structural relaxation, from Alexandria.

Lattice parameters (Å, degrees): 6.1497 6.1497 7.8161 90.00 90.00 120.00
Last column: magnetic moment on the atom in μB.
Sites, in units of the cell vectors:
O 0.8296 0.6592 0.6861  0.09
O 0.1704 0.8296 0.3139  0.09
O 0.6667 0.3333 0.0131  0.23
K 0.6667 0.3333 0.3393  0.00
O 0.3408 0.1704 0.6861  0.09
O 0.1704 0.3408 0.3139  0.09
K 0.3333 0.6667 0.6607  0.00
O 0.8296 0.1704 0.6861  0.09
Ta 0.6667 0.3333 0.7742  -0.04
K 0.0000 0.0000 0.0000  0.00
O 0.3333 0.6667 0.9869  0.23
Ta 0.3333 0.6667 0.2258  -0.04
Cd 0.0000 0.0000 0.5000  0.00
O 0.6592 0.8296 0.3139  0.09

Output
Its density of states at the Fermi level is 13.57 states/eV/f.u. Its space group is P-3m1, No. 164. The crystal system is trigonal. For the spin magnetization, the calculation gives 1.1 μB/cell. The total DFT energy (no corrections) comes out at -96.7 eV/cell. The calculation puts the uncorrected formation energy at -2.0829 eV per atom.